[1]
## RbYSnS3 (PBE)

Data for a geometry-optimized RbYSnS3 structure.

Summary:
* E_form (uncorrected): -1275 meV per atom
* energy: -5.24 eV/atom
* space-group type: No. 63

a b c (Å): 8.858 8.858 11.347
angles (deg): 90.00 90.00 154.00
Sites, in units of the cell vectors:
Rb (0.182, 0.818, 0.750)
Rb (0.818, 0.182, 0.250)
Y (0.500, 0.500, 0.000)
Y (0.500, 0.500, 0.500)
Sn (0.115, 0.885, 0.250)
Sn (0.885, 0.115, 0.750)
S (0.107, 0.893, 0.005)
S (0.107, 0.893, 0.495)
S (0.487, 0.513, 0.750)
S (0.513, 0.487, 0.250)
S (0.893, 0.107, 0.505)
S (0.893, 0.107, 0.995)

[2]
## SrCdReF2 (PBE)

Data for a geometry-optimized SrCdReF2 structure.

Summary:
* E_form (uncorrected): -238 meV per atom
* energy: -4.00 eV/atom
* space-group type: No. 123

a b c (Å): 4.328 4.328 6.254
angles (deg): 90.00 90.00 90.00
Sites, in units of the cell vectors:
Sr (0.000, 0.000, 0.000)
Cd (0.500, 0.500, 0.000)
Re (0.000, 0.000, 0.500)
F (0.000, 0.500, 0.500)
F (0.500, 0.000, 0.500)